Record 1
Crystalline Mg4U3 at its relaxed geometry. Source: OQMD, functional PBE.

* symmetry: No. 11
* magnetic moment: 0.75 μB per atom
* relative energy among the computed polymorphs: 142 meV per atom

Cell: 8.391 5.346 8.406 Å, 90.00 119.90 90.00°
Fractional positions:
Mg 0.075 0.250 0.330
Mg 0.172 0.250 0.745
Mg 0.245 0.750 0.574
Mg 0.334 0.250 0.167
Mg 0.666 0.750 0.833
Mg 0.755 0.250 0.426
Mg 0.828 0.750 0.255
Mg 0.925 0.750 0.670
U 0.133 0.750 0.112
U 0.385 0.750 0.020
U 0.479 0.750 0.364
U 0.521 0.250 0.636
U 0.615 0.250 0.980
U 0.867 0.250 0.888

***

Record 2
Crystalline MgU at its relaxed geometry. Source: OQMD, functional PBE.

* symmetry: No. 25
* total energy: -48.80 eV per cell
* magnetic moment: 0.52 μB per atom

Cell: 4.674 8.035 4.787 Å, 90.00 90.00 90.00°
Fractional positions:
Mg 0.000 0.000 0.000
Mg 0.000 0.229 0.496
Mg 0.000 0.771 0.496
Mg 0.500 0.000 0.512
U 0.000 0.500 0.980
U 0.500 0.306 0.021
U 0.500 0.500 0.456
U 0.500 0.694 0.021

***

Record 3
Crystalline MgU at its relaxed geometry. Source: OQMD, functional PBE.

* symmetry: No. 11
* total energy: -74.14 eV per cell
* magnetic moment: 0.21 μB per atom

Cell: 6.258 4.950 8.608 Å, 90.00 96.68 90.00°
Fractional positions:
Mg 0.125 0.250 0.065
Mg 0.307 0.250 0.752
Mg 0.369 0.750 0.949
Mg 0.631 0.250 0.051
Mg 0.693 0.750 0.248
Mg 0.875 0.750 0.935
U 0.050 0.750 0.595
U 0.218 0.750 0.345
U 0.409 0.250 0.405
U 0.591 0.750 0.595
U 0.782 0.250 0.655
U 0.950 0.250 0.405